Entry 1:
Computed, not measured: a relaxed SrScOF2 crystal at the PBE level of DFT.

Structure (extended XYZ):
```
5
Lattice="4.327 0.000 0.000 0.000 4.327 0.000 0.000 0.000 4.129" Properties=species:S:1:pos:R:3 pbc="T T T"
Sr 0.000 0.000 0.000
Sc 2.164 2.164 2.064
O 2.164 2.164 0.000
F 0.000 2.164 2.064
F 2.164 0.000 2.064
```

Results
**Uncorrected formation energy**: -3.067 eV per atom
**Energy above the most stable polymorph in this dataset**: 0 meV per atom
**Space-group type**: P4/mmm, No. 123
**Energy**: -6.41 eV/atom



Entry 2:
Computed, not measured: a relaxed ScTaOF2 crystal at the PBE level of DFT.

Structure (extended XYZ):
```
5
Lattice="4.355 0.000 0.000 0.000 4.355 0.000 0.000 0.000 3.964" Properties=species:S:1:pos:R:3 pbc="T T T"
Sc 0.000 0.000 0.000
Ta 2.178 2.178 1.982
O 2.178 2.178 0.000
F 0.000 2.178 1.982
F 2.178 0.000 1.982
```

Results
**Uncorrected formation energy**: -1.602 eV per atom
**Energy above the most stable polymorph in this dataset**: 0 meV per atom
**Space-group type**: P4/mmm, No. 123
**Energy**: -6.98 eV/atom



Entry 3:
Computed, not measured: a relaxed ScTaO2F crystal at the PBE level of DFT.

Structure (extended XYZ):
```
5
Lattice="4.022 0.000 0.000 0.000 4.022 0.000 0.000 0.000 4.206" Properties=species:S:1:pos:R:3 pbc="T T T"
Sc 0.000 0.000 0.000
Ta 2.011 2.011 2.103
O 0.000 2.011 2.103
O 2.011 0.000 2.103
F 2.011 2.011 0.000
```

Results
**Uncorrected formation energy**: -1.923 eV per atom
**Space-group type**: P4/mmm, No. 123
**Energy**: -7.92 eV/atom



Entry 4:
Computed, not measured: a relaxed ScTaO2F crystal at the PBE level of DFT.

Structure (extended XYZ):
```
5
Lattice="4.139 0.000 0.000 0.000 4.139 0.000 0.000 0.000 3.900" Properties=species:S:1:pos:R:3 pbc="T T T"
Sc 0.000 0.000 0.000
Ta 2.070 2.070 1.950
O 0.000 2.070 0.000
O 2.070 0.000 0.000
F 0.000 0.000 1.950
```

Results
**Uncorrected formation energy**: -1.571 eV per atom
**Space-group type**: P4/mmm, No. 123
**Energy**: -7.56 eV/atom



Entry 5:
Computed, not measured: a relaxed ScTaOF2 crystal at the PBE level of DFT.

Structure (extended XYZ):
```
5
Lattice="4.098 0.000 0.000 0.000 4.098 0.000 0.000 0.000 4.258" Properties=species:S:1:pos:R:3 pbc="T T T"
Sc 0.000 0.000 0.000
Ta 2.049 2.049 2.129
O 0.000 0.000 2.129
F 0.000 2.049 0.000
F 2.049 0.000 0.000
```

Results
**Uncorrected formation energy**: -1.547 eV per atom
**Energy above the most stable polymorph in this dataset**: 55 meV per atom
**Space-group type**: P4/mmm, No. 123
**Energy**: -6.92 eV/atom



Entry 6:
Computed, not measured: a relaxed ScTeOF2 crystal at the PBE level of DFT.

Structure (extended XYZ):
```
5
Lattice="4.809 0.000 0.000 0.000 4.809 0.000 0.000 0.000 4.110" Properties=species:S:1:pos:R:3 pbc="T T T"
Sc 0.000 0.000 0.000
Te 2.404 2.404 2.055
O 2.404 2.404 0.000
F 0.000 2.404 2.055
F 2.404 0.000 2.055
```

Results
**Uncorrected formation energy**: -0.918 eV per atom
**Energy above the most stable polymorph in this dataset**: 1263 meV per atom
**Space-group type**: P4/mmm, No. 123
**Energy**: -4.55 eV/atom



Entry 7:
Computed, not measured: a relaxed ScTeOF2 crystal at the PBE level of DFT.

Structure (extended XYZ):
```
5
Lattice="4.098 0.000 0.000 0.000 4.098 0.000 0.000 0.000 5.915" Properties=species:S:1:pos:R:3 pbc="T T T"
Sc 0.000 0.000 0.000
Te 0.000 0.000 2.958
O 2.049 2.049 0.000
F 0.000 2.049 2.958
F 2.049 0.000 2.958
```

Results
**Uncorrected formation energy**: -1.049 eV per atom
**Energy above the most stable polymorph in this dataset**: 1133 meV per atom
**Space-group type**: P4/mmm, No. 123
**Energy**: -4.68 eV/atom



Entry 8:
Computed, not measured: a relaxed ScTeOF2 crystal at the PBE level of DFT.

Structure (extended XYZ):
```
5
Lattice="4.073 0.000 0.000 0.000 4.073 0.000 0.000 0.000 4.545" Properties=species:S:1:pos:R:3 pbc="T T T"
Sc 0.000 0.000 0.000
Te 2.037 2.037 2.273
O 0.000 0.000 2.273
F 0.000 2.037 0.000
F 2.037 0.000 0.000
```

Results
**Uncorrected formation energy**: -2.182 eV per atom
**Energy above the most stable polymorph in this dataset**: 0 meV per atom
**Space-group type**: P4/mmm, No. 123
**Energy**: -5.82 eV/atom



Entry 9:
Computed, not measured: a relaxed ScTiOF2 crystal at the PBE level of DFT.

Structure (extended XYZ):
```
5
Lattice="4.120 0.000 0.000 0.000 4.120 0.000 0.000 0.000 4.128" Properties=species:S:1:pos:R:3 pbc="T T T"
Sc 0.000 0.000 0.000
Ti 2.060 2.060 2.064
O 0.000 0.000 2.064
F 0.000 2.060 0.000
F 2.060 0.000 0.000
```

Results
**Uncorrected formation energy**: -2.288 eV per atom
**Energy above the most stable polymorph in this dataset**: 0 meV per atom
**Space-group type**: P4/mmm, No. 123
**Energy**: -6.87 eV/atom



Entry 10:
Computed, not measured: a relaxed ScTiOF2 crystal at the PBE level of DFT.

Structure (extended XYZ):
```
5
Lattice="4.118 0.000 0.000 0.000 4.118 0.000 0.000 0.000 3.927" Properties=species:S:1:pos:R:3 pbc="T T T"
Sc 0.000 0.000 0.000
Ti 2.059 2.059 1.963
O 2.059 2.059 0.000
F 0.000 2.059 1.963
F 2.059 0.000 1.963
```

Results
**Uncorrected formation energy**: -2.258 eV per atom
**Energy above the most stable polymorph in this dataset**: 30 meV per atom
**Space-group type**: P4/mmm, No. 123
**Energy**: -6.84 eV/atom



Entry 11:
Computed, not measured: a relaxed Sc2TlOF crystal at the PBE level of DFT.

Structure (extended XYZ):
```
5
Lattice="4.163 0.000 0.000 0.000 4.163 0.000 0.000 0.000 5.297" Properties=species:S:1:pos:R:3 pbc="T T T"
Sc 0.000 2.082 0.000
Sc 2.082 0.000 0.000
Tl 0.000 0.000 2.648
O 2.082 2.082 0.000
F 2.082 2.082 2.648
```

Results
**Uncorrected formation energy**: -1.549 eV per atom
**Space-group type**: P4/mmm, No. 123
**Energy**: -5.92 eV/atom



Question: The highest uncorrected formation energy belongs to which entry?
Answer: number 6